No. 1
! PBE Dy5Tm3H12, optimized geometry; values from VASP
&SYSTEM
  ibrav = 0, nat = 80, ntyp = 3
/
ATOMIC_SPECIES
Tm 168.93 Tm.upf
Dy 162.50 Dy.upf
H 1.01 H.upf
ATOMIC_POSITIONS crystal
Tm 0.7500 0.3750 0.1250
Tm 0.8750 0.7500 0.1250
Tm 0.3750 0.7500 0.6250
Tm 0.2500 0.1250 0.3750
Tm 0.8750 0.1250 0.2500
Tm 0.3750 0.6250 0.2500
Tm 0.6250 0.3750 0.7500
Tm 0.1250 0.8750 0.7500
Tm 0.7500 0.8750 0.6250
Tm 0.6250 0.2500 0.3750
Tm 0.1250 0.2500 0.8750
Tm 0.2500 0.6250 0.8750
Dy 0.1250 0.3750 0.2500
Dy 0.0000 0.5000 0.0000
Dy 0.0000 0.0000 0.0000
Dy 0.3750 0.2500 0.1250
Dy 0.5000 0.0000 0.5000
Dy 0.5000 0.5000 0.0000
Dy 0.1250 0.7500 0.3750
Dy 0.7500 0.1250 0.8750
Dy 0.7500 0.6250 0.3750
Dy 0.3750 0.1250 0.7500
Dy 0.6250 0.8750 0.2500
Dy 0.5000 0.5000 0.5000
Dy 0.5000 0.0000 0.0000
Dy 0.0000 0.0000 0.5000
Dy 0.2500 0.3750 0.6250
Dy 0.2500 0.8750 0.1250
Dy 0.0000 0.5000 0.5000
Dy 0.8750 0.2500 0.6250
Dy 0.6250 0.7500 0.8750
Dy 0.8750 0.6250 0.7500
H 0.7241 0.1573 0.0673
H 0.3432 0.5673 0.4100
H 0.9327 0.3427 0.2759
H 0.5673 0.2241 0.1573
H 0.5669 0.7241 0.6568
H 0.9327 0.5900 0.1568
H 0.3432 0.7759 0.4331
H 0.0900 0.9331 0.1573
H 0.5900 0.9327 0.6568
H 0.7241 0.5669 0.1568
H 0.7759 0.4327 0.3427
H 0.8432 0.9100 0.0673
H 0.1573 0.7241 0.5673
H 0.3427 0.4100 0.0669
H 0.0669 0.9100 0.3427
H 0.4331 0.1573 0.5900
H 0.0669 0.1568 0.2241
H 0.4327 0.6568 0.0900
H 0.8432 0.9331 0.2759
H 0.1573 0.4331 0.0900
H 0.3427 0.9327 0.7759
H 0.5900 0.6573 0.4331
H 0.9100 0.8432 0.5673
H 0.7759 0.3432 0.9331
H 0.4100 0.3427 0.5669
H 0.0900 0.1568 0.4327
H 0.2241 0.6568 0.0669
H 0.1568 0.0669 0.7241
H 0.6573 0.0673 0.2241
H 0.8427 0.5669 0.9100
H 0.5673 0.3432 0.9100
H 0.5669 0.8427 0.4100
H 0.9331 0.8432 0.7759
H 0.9331 0.0900 0.6573
H 0.8427 0.2759 0.4327
H 0.1568 0.0900 0.9327
H 0.6573 0.5900 0.9331
H 0.4100 0.0673 0.3432
H 0.2759 0.4331 0.8432
H 0.2241 0.5673 0.6573
H 0.9100 0.0669 0.8427
H 0.6568 0.2241 0.5669
H 0.4327 0.7759 0.8427
H 0.0673 0.4100 0.8432
H 0.4331 0.2759 0.3432
H 0.0673 0.6573 0.7241
H 0.6568 0.4327 0.5900
H 0.2759 0.8427 0.9327
CELL_PARAMETERS angstrom
-1.1067 10.1918 4.5635
-7.1478 -7.1045 4.9355
10.5114 -3.6395 1.4794
! - V (Å³ per cell) = 1087.78
! - uncorrected energy (eV/atom) = -4.2970
! - space group = No. 230

No. 2
! PBE DyTm2H8, optimized geometry; values from VASP
&SYSTEM
  ibrav = 0, nat = 11, ntyp = 3
/
ATOMIC_SPECIES
Dy 162.50 Dy.upf
Tm 168.93 Tm.upf
H 1.01 H.upf
ATOMIC_POSITIONS crystal
Dy 0.5000 0.0000 0.0000
Tm 0.1686 0.6686 0.3371
Tm 0.8314 0.3314 0.6629
H 0.6633 0.9012 0.3267
H 0.3367 0.5745 0.6733
H 0.1568 0.1568 0.3137
H 0.0000 0.2753 0.0000
H 0.8432 0.8432 0.6863
H 0.6633 0.4255 0.3267
H 0.3367 0.0988 0.6733
H 0.0000 0.7247 0.0000
CELL_PARAMETERS angstrom
3.4232 0.0000 -1.0418
-0.7557 4.3722 -2.4832
0.0110 0.5558 6.1809
! - V (Å³ per cell) = 97.72
! - uncorrected energy (eV/atom) = -4.2938
! - space group = No. 71

No. 3
! PBE DyTmH, optimized geometry; values from VASP
&SYSTEM
  ibrav = 0, nat = 3, ntyp = 3
/
ATOMIC_SPECIES
H 1.01 H.upf
Tm 168.93 Tm.upf
Dy 162.50 Dy.upf
ATOMIC_POSITIONS crystal
H 0.2202 0.2202 0.4404
Tm 0.7441 0.7441 0.4881
Dy 0.0357 0.0357 0.0714
CELL_PARAMETERS angstrom
3.3156 0.0000 0.0000
0.0000 3.3156 0.0000
-1.6578 -1.6578 5.9837
! - V (Å³ per cell) = 65.78
! - space group = No. 107
! - energy relative to the lowest polymorph listed for this composition (meV per atom) = 153.4

- Which formula does entry 2 have?
  DyTm2H8